i) Density functional theory data (PBE+U) for an optimized crystal structure of CrReOF2.

Results
D(E_F), states/eV/f.u.: 1.91

abc: 4.0747 4.0747 4.0885
angles: 90.00 90.00 90.00
Last column: nearest neighbours and their distance in Å.
Space group P4/mmm (No. 123)
Symmetry-distinct sites (fractional):
Cr  0.0000  0.0000  0.0000 (multiplicity 1)  4 F 2.04, 2 O 2.04
Re  0.5000  0.5000  0.5000 (multiplicity 1)  4 O 2.88, 8 F 2.89
O  0.0000  0.0000  0.5000 (multiplicity 1)  2 Cr 2.04
F  0.0000  0.5000  0.0000 (multiplicity 2)  2 Cr 2.04


ii) Density functional theory data (PBE+U) for an optimized crystal structure of CrReOF2.

Results
D(E_F), states/eV/f.u.: 2.22

abc: 4.2893 4.2893 3.8051
angles: 90.00 90.00 90.00
Last column: nearest neighbours and their distance in Å.
Space group P4/mmm (No. 123)
Symmetry-distinct sites (fractional):
Cr  0.0000  0.0000  0.0000 (multiplicity 1)  8 F 2.87, 4 O 3.03
Re  0.5000  0.5000  0.5000 (multiplicity 1)  2 O 1.90
O  0.5000  0.5000  0.0000 (multiplicity 1)  2 Re 1.90
F  0.0000  0.5000  0.5000 (multiplicity 2)  2 Re 2.14


Taking the most stable structure as the zero point, the relative energies in meV per atom are i) 350; ii) 0.


i) Density functional theory data (PBE+U) for an optimized crystal structure of CrRuOF2.

Results
D(E_F), states/eV/f.u.: 3.20

abc: 4.3481 4.3481 3.7321
angles: 90.00 90.00 90.00
Last column: nearest neighbours and their distance in Å.
Space group P4/mmm (No. 123)
Symmetry-distinct sites (fractional):
Cr  0.0000  0.0000  0.0000 (multiplicity 1)  8 F 2.87, 4 O 3.07
Ru  0.5000  0.5000  0.5000 (multiplicity 1)  2 O 1.87
O  0.5000  0.5000  0.0000 (multiplicity 1)  2 Ru 1.87
F  0.0000  0.5000  0.5000 (multiplicity 2)  2 Ru 2.17


ii) Density functional theory data (PBE+U) for an optimized crystal structure of CrRuOF2.

Results
D(E_F), states/eV/f.u.: 4.01

abc: 3.9991 3.9991 3.9931
angles: 90.00 90.00 90.00
Last column: nearest neighbours and their distance in Å.
Space group P4/mmm (No. 123)
Symmetry-distinct sites (fractional):
Cr  0.0000  0.0000  0.0000 (multiplicity 1)  2 O 2.00, 4 F 2.00
Ru  0.5000  0.5000  0.5000 (multiplicity 1)  8 F 2.83, 4 O 2.83
O  0.0000  0.0000  0.5000 (multiplicity 1)  2 Cr 2.00
F  0.0000  0.5000  0.0000 (multiplicity 2)  2 Cr 2.00


Taking the most stable structure as the zero point, the relative energies in meV per atom are i) 513; ii) 0.


i) Density functional theory data (PBE+U) for an optimized crystal structure of CrSiOF2.

Results
D(E_F), states/eV/f.u.: 0.67

abc: 4.2305 4.2305 3.4919
angles: 90.00 90.00 90.00
Last column: nearest neighbours and their distance in Å.
Space group P4/mmm (No. 123)
Symmetry-distinct sites (fractional):
Cr  0.0000  0.0000  0.0000 (multiplicity 1)  8 F 2.74, 4 O 2.99
Si  0.5000  0.5000  0.5000 (multiplicity 1)  2 O 1.75
O  0.5000  0.5000  0.0000 (multiplicity 1)  2 Si 1.75
F  0.0000  0.5000  0.5000 (multiplicity 2)  2 Si 2.12


ii) Density functional theory data (PBE+U) for an optimized crystal structure of CrSiOF2.

Results
D(E_F), states/eV/f.u.: 1.88

abc: 4.0227 4.0227 3.9875
angles: 90.00 90.00 90.00
Last column: nearest neighbours and their distance in Å.
Space group P4/mmm (No. 123)
Symmetry-distinct sites (fractional):
Cr  0.0000  0.0000  0.0000 (multiplicity 1)  2 O 1.99, 4 F 2.01
Si  0.5000  0.5000  0.5000 (multiplicity 1)  8 F 2.83, 4 O 2.84
O  0.0000  0.0000  0.5000 (multiplicity 1)  2 Cr 1.99
F  0.0000  0.5000  0.0000 (multiplicity 2)  2 Cr 2.01


Taking the most stable structure as the zero point, the relative energies in meV per atom are i) 0; ii) 202.


i) Density functional theory data (PBE+U) for an optimized crystal structure of Sr5Cr3O12F.

abc: 10.0981 10.0981 7.5107
angles: 90.00 90.00 120.00
Last column: nearest neighbours and their distance in Å.
Space group P6_3/m (No. 176)
Symmetry-distinct sites (fractional):
Sr  0.0063  0.7581  0.2500 (multiplicity 6)  1 F 2.48, 6 O 2.54-2.77
Sr  0.3333  0.6667  0.0001 (multiplicity 4)  6 O 2.60-2.62
Cr  0.0289  0.6300  0.7500 (multiplicity 6)  4 O 1.72-1.73
O  0.0901  0.7469  0.5658 (multiplicity 12)  1 Cr 1.72
O  0.1286  0.5317  0.7500 (multiplicity 6)  1 Cr 1.73
O  0.1683  0.4782  0.2500 (multiplicity 6)  1 Cr 1.73
F  0.0000  0.0000  0.2500 (multiplicity 2)  3 Sr 2.48


ii) Density functional theory data (PBE+U) for an optimized crystal structure of Sr5Cr3O12F.

abc: 10.1174 10.1174 7.3290
angles: 90.00 90.00 120.00
Last column: nearest neighbours and their distance in Å.
Space group P6_3/m (No. 176)
Symmetry-distinct sites (fractional):
Sr  0.0010  0.7639  0.2500 (multiplicity 6)  5 O 2.51-2.64
Sr  0.3333  0.6667  0.9998 (multiplicity 4)  6 O 2.57-2.61
Cr  0.0264  0.6242  0.7500 (multiplicity 6)  4 O 1.72-1.73
O  0.0897  0.7437  0.5638 (multiplicity 12)  1 Cr 1.72
O  0.1253  0.5256  0.7500 (multiplicity 6)  1 Cr 1.73
O  0.1699  0.4781  0.2500 (multiplicity 6)  1 Cr 1.72
F  0.0000  0.0000  0.0000 (multiplicity 2)  6 Sr 3.01, 6 O 3.18


Taking the most stable structure as the zero point, the relative energies in meV per atom are i) 0; ii) 33.


i) Density functional theory data (PBE+U) for an optimized crystal structure of SrCrOF2.

Results
D(E_F), states/eV/f.u.: 3.03

abc: 4.5585 4.5585 4.8118
angles: 90.00 90.00 90.00
Last column: nearest neighbours and their distance in Å.
Space group P4/mmm (No. 123)
Symmetry-distinct sites (fractional):
Sr  0.0000  0.0000  0.0000 (multiplicity 1)  4 F 2.28, 2 O 2.41
Cr  0.5000  0.5000  0.5000 (multiplicity 1)  4 O 3.22, 8 F 3.31
O  0.0000  0.0000  0.5000 (multiplicity 1)  2 Sr 2.41
F  0.0000  0.5000  0.0000 (multiplicity 2)  2 Sr 2.28


ii) Density functional theory data (PBE+U) for an optimized crystal structure of SrCrOF2.

Results
D(E_F), states/eV/f.u.: 0.10

abc: 4.2060 4.2060 4.0694
angles: 90.00 90.00 90.00
Last column: nearest neighbours and their distance in Å.
Space group P4/mmm (No. 123)
Symmetry-distinct sites (fractional):
Sr  0.0000  0.0000  0.0000 (multiplicity 1)  8 F 2.93, 4 O 2.97
Cr  0.5000  0.5000  0.5000 (multiplicity 1)  2 O 2.03, 4 F 2.10
O  0.5000  0.5000  0.0000 (multiplicity 1)  2 Cr 2.03
F  0.0000  0.5000  0.5000 (multiplicity 2)  2 Cr 2.10


Taking the most stable structure as the zero point, the relative energies in meV per atom are i) 859; ii) 0.


i) Density functional theory data (PBE+U) for an optimized crystal structure of TaCrOF2.

Results
D(E_F), states/eV/f.u.: 6.27

abc: 4.0384 4.0384 4.0097
angles: 90.00 90.00 90.00
Last column: nearest neighbours and their distance in Å.
Space group P4/mmm (No. 123)
Symmetry-distinct sites (fractional):
Ta  0.0000  0.0000  0.0000 (multiplicity 1)  8 F 2.85, 4 O 2.86
Cr  0.5000  0.5000  0.5000 (multiplicity 1)  2 O 2.00, 4 F 2.02
O  0.5000  0.5000  0.0000 (multiplicity 1)  2 Cr 2.00
F  0.0000  0.5000  0.5000 (multiplicity 2)  2 Cr 2.02


ii) Density functional theory data (PBE+U) for an optimized crystal structure of TaCrOF2.

Results
D(E_F), states/eV/f.u.: 1.76

abc: 4.3249 4.3249 3.9455
angles: 90.00 90.00 90.00
Last column: nearest neighbours and their distance in Å.
Space group P4/mmm (No. 123)
Symmetry-distinct sites (fractional):
Ta  0.0000  0.0000  0.0000 (multiplicity 1)  2 O 1.97, 4 F 2.16
Cr  0.5000  0.5000  0.5000 (multiplicity 1)  8 F 2.93, 4 O 3.06
O  0.0000  0.0000  0.5000 (multiplicity 1)  2 Ta 1.97
F  0.0000  0.5000  0.0000 (multiplicity 2)  2 Ta 2.16


Taking the most stable structure as the zero point, the relative energies in meV per atom are i) 842; ii) 0.